Below is ZnSn3H after structural relaxation, with properties calculated at the PBE level.

Volume = 142 Å³/cell
DFT total energy = -0.092 hartree per atom
Energy above the most stable polymorph in this dataset = 242 kJ/mol of formula units
Space-group type = Pm-3m

Lattice parameters (Å, degrees): 5.2225 5.2225 5.2225 90.00 90.00 90.00
With the nearest neighbours (Å) after each atom.
Element x y z (fractional)
H: 0.5000 0.5000 0.5000  12 Sn 3.69
Zn: 0.0000 0.0000 0.0000  6 Sn 2.61
Sn: 0.0000 0.5000 0.0000  2 Zn 2.61
Sn: 0.0000 0.0000 0.5000  2 Zn 2.61
Sn: 0.5000 0.0000 0.0000  2 Zn 2.61

Below is CeH6Pd5 after structural relaxation, with properties calculated at the PBE level.

Volume = 127 Å³/cell
DFT total energy = -0.170 hartree per atom
Space-group type = P-1

Lattice parameters (Å, degrees): 5.6278 6.3576 5.1854 82.88 68.50 48.49
With the nearest neighbours (Å) after each atom.
Element x y z (fractional)
Ce: 0.0000 0.0000 0.0000  6 H 2.54-2.70
H: 0.5887 0.5058 0.2645  3 Pd 1.79-1.89
H: 0.0014 0.3704 0.7520  2 Pd 1.82-1.87
H: 0.7267 0.9179 0.7372  4 Pd 1.88-1.97
H: 0.2733 0.0821 0.2628  4 Pd 1.88-1.97
H: 0.9986 0.6296 0.2480  2 Pd 1.82-1.87
H: 0.4113 0.4942 0.7355  3 Pd 1.79-1.89
Pd: 0.1927 0.5966 0.4824  4 H 1.79-1.96
Pd: 0.3459 0.2931 0.9850  4 H 1.82-1.97
Pd: 0.5000 0.0000 0.5000  2 H 1.88
Pd: 0.6541 0.7069 0.0150  4 H 1.82-1.97
Pd: 0.8073 0.4034 0.5176  4 H 1.79-1.96

Below is AlSiAs2 after structural relaxation, with properties calculated at the PBE level.

E_form (uncorrected) = 0.37 eV/atom
Volume = 71 Å³/cell
DFT total energy = -0.156 hartree per atom
Energy above the most stable polymorph in this dataset = 163 kJ/mol of formula units
Space-group type = R-3m

Lattice parameters (Å, degrees): 9.6653 9.6653 9.6653 17.45 17.45 17.45
With the nearest neighbours (Å) after each atom.
Element x y z (fractional)
As: 0.0058 0.0058 0.0058  3 Al 2.79, 6 As 2.93, 3 Si 3.06
As: 0.4942 0.4942 0.4942  3 Al 2.79, 6 As 2.93, 3 Si 3.06
Si: 0.2500 0.2500 0.2500  6 Si 2.93, 6 As 3.06
Al: 0.7500 0.7500 0.7500  6 As 2.79, 6 Al 2.93

Below is CrInCl2 after structural relaxation, with properties calculated at the PBE level.

E_form (uncorrected) = -0.36 eV/atom
Volume = 104 Å³/cell
DFT total energy = -0.161 hartree per atom
Energy above the most stable polymorph in this dataset = 66 kJ/mol of formula units
Space-group type = Cmm2

Lattice parameters (Å, degrees): 3.6061 3.6061 9.1236 90.00 90.00 119.18
With the nearest neighbours (Å) after each atom.
Element x y z (fractional)
Cr: 0.0000 0.0000 0.4962  2 Cl 2.38
Cl: 0.0000 0.0000 0.9412  2 In 2.62
Cl: 0.5000 0.5000 0.3280  2 Cr 2.38
In: 0.5000 0.5000 0.7346  2 Cl 2.62, 2 Cr 2.84

Below is TmSe2O6 after structural relaxation, with properties calculated at the PBE level.

E_form (uncorrected) = -1.48 eV/atom
Volume = 311 Å³/cell
DFT total energy = -0.222 hartree per atom
Space-group type = C2/c

Lattice parameters (Å, degrees): 7.8041 6.6371 6.6371 99.17 105.02 105.02
With the nearest neighbours (Å) after each atom.
Element x y z (fractional)
Tm: 0.2500 0.9599 0.0401  8 O 2.26-2.41
Tm: 0.7500 0.0401 0.9599  8 O 2.26-2.41
Se: 0.2330 0.4317 0.1690  3 O 1.69-1.74
Se: 0.2670 0.8310 0.5683  3 O 1.69-1.74
Se: 0.7670 0.5683 0.8310  3 O 1.69-1.74
Se: 0.7330 0.1690 0.4317  3 O 1.69-1.74
O: 0.4174 0.3364 0.1922  1 Se 1.70
O: 0.0826 0.8078 0.6636  1 Se 1.70
O: 0.5826 0.6636 0.8078  1 Se 1.70
O: 0.9174 0.1922 0.3364  1 Se 1.70
O: 0.7430 0.0180 0.6150  1 Se 1.69
O: 0.7570 0.3850 0.9820  1 Se 1.69
O: 0.2570 0.9820 0.3850  1 Se 1.69
O: 0.2430 0.6150 0.0180  1 Se 1.69
O: 0.0677 0.1972 0.9974  1 Se 1.74
O: 0.4323 0.0026 0.8028  1 Se 1.74
O: 0.9323 0.8028 0.0026  1 Se 1.74
O: 0.5677 0.9974 0.1972  1 Se 1.74

Below is K3Np3TeS8 after structural relaxation, with properties calculated at the PBE level.

E_form (uncorrected) = -1.11 eV/atom
Volume = 426 Å³/cell
DFT total energy = -0.232 hartree per atom
Space-group type = R-3m

Lattice parameters (Å, degrees): 8.1420 8.1406 8.7858 117.56 90.00 120.01
With the nearest neighbours (Å) after each atom.
Element x y z (fractional)
K: 0.0000 0.0000 0.0000  6 S 3.24-3.25
K: 0.0000 0.5000 0.0000  6 S 3.24-3.25
K: 0.5000 0.5000 0.0000  6 S 3.24-3.25
Np: 0.5000 0.0000 0.5000  6 S 2.78
Np: 0.5000 0.5000 0.5000  6 S 2.78
Np: 0.0000 0.5000 0.5000  6 S 2.78
Te: 0.0000 0.0000 0.5000  6 S 2.73
S: 0.2669 0.5338 0.3007  3 Np 2.78
S: 0.7331 0.4662 0.6993  3 Np 2.78
S: 0.7709 0.5418 0.3048  1 Te 2.73, 2 Np 2.78
S: 0.2291 0.4582 0.6952  1 Te 2.73, 2 Np 2.78
S: 0.7710 0.0340 0.3048  1 Te 2.73, 2 Np 2.78
S: 0.2290 0.9660 0.6952  1 Te 2.73, 2 Np 2.78
S: 0.2630 0.0340 0.3048  1 Te 2.73, 2 Np 2.78
S: 0.7370 0.9660 0.6952  1 Te 2.73, 2 Np 2.78

Below is IrOsBr2 after structural relaxation, with properties calculated at the PBE level.

E_form (uncorrected) = 1.32 eV/atom
Volume = 71 Å³/cell
DFT total energy = -0.167 hartree per atom
Energy above the most stable polymorph in this dataset = 358 kJ/mol of formula units
Space-group type = P2/m

Lattice parameters (Å, degrees): 4.4763 3.0605 5.1604 93.88 90.00 90.00
With the nearest neighbours (Å) after each atom.
Element x y z (fractional)
Ir: 0.5000 0.2500 0.2500  4 Br 2.69, 2 Os 2.91
Os: 0.5000 0.7500 0.7500  4 Br 2.65, 2 Ir 2.91
Br: 0.0000 0.9843 0.9979  2 Os 2.65, 2 Ir 2.69, 1 Br 2.85
Br: 0.0000 0.5157 0.5021  2 Os 2.65, 2 Ir 2.69, 1 Br 2.85

Below is Al3GeBi after structural relaxation, with properties calculated at the PBE level.

Energy relative to the elements = 0.43 eV per atom
Volume = 121 Å³/cell
DFT total energy = -0.129 hartree per atom
Energy above the most stable polymorph in this dataset = 0 kJ/mol of formula units
Space-group type = Pm-3m

Lattice parameters (Å, degrees): 4.9515 4.9515 4.9515 90.00 90.00 90.00
With the nearest neighbours (Å) after each atom.
Element x y z (fractional)
Ge: 0.0000 0.0000 0.0000  6 Al 2.48
Bi: 0.5000 0.5000 0.5000  12 Al 3.50
Al: 0.0000 0.5000 0.0000  2 Ge 2.48
Al: 0.0000 0.0000 0.5000  2 Ge 2.48
Al: 0.5000 0.0000 0.0000  2 Ge 2.48

Below is BaTeIr3 after structural relaxation, with properties calculated at the PBE level.

E_form (uncorrected) = 0.79 eV/atom
Volume = 125 Å³/cell
DFT total energy = -0.204 hartree per atom
Energy above the most stable polymorph in this dataset = 0 kJ/mol of formula units
Space-group type = Pm-3m

Lattice parameters (Å, degrees): 5.0030 5.0030 5.0030 90.00 90.00 90.00
With the nearest neighbours (Å) after each atom.
Element x y z (fractional)
Ir: 0.0000 0.5000 0.0000  2 Te 2.50
Ir: 0.0000 0.0000 0.5000  2 Te 2.50
Ir: 0.5000 0.0000 0.0000  2 Te 2.50
Te: 0.0000 0.0000 0.0000  6 Ir 2.50
Ba: 0.5000 0.5000 0.5000  12 Ir 3.54

Below is LaIn6Hg5 after structural relaxation, with properties calculated at the PBE level.

Energy relative to the elements = -0.12 eV per atom
Volume = 318 Å³/cell
DFT total energy = -0.075 hartree per atom
Space-group type = C2/m

Lattice parameters (Å, degrees): 5.9058 7.3712 7.3712 83.29 92.26 92.26
With the nearest neighbours (Å) after each atom.
Element x y z (fractional)
In: 0.2475 0.0870 0.4304  4 Hg 3.10-3.42, 5 In 3.23-3.37
In: 0.7525 0.5696 0.9130  4 Hg 3.10-3.42, 5 In 3.23-3.37
In: 0.7332 0.2675 0.2675  1 Hg 2.97, 4 In 3.23-3.32
In: 0.2668 0.7325 0.7325  1 Hg 2.97, 4 In 3.23-3.32
In: 0.2475 0.4304 0.0870  4 Hg 3.10-3.42, 5 In 3.23-3.37
In: 0.7525 0.9130 0.5696  4 Hg 3.10-3.42, 5 In 3.23-3.37
Hg: 0.5000 0.1685 0.8315  4 Hg 3.25-3.39, 6 In 3.29-3.59, 2 La 3.38
Hg: 0.0000 0.3384 0.6616  4 In 3.10-3.34, 5 Hg 3.17-3.39, 1 La 3.31
Hg: 0.5000 0.5000 0.5000  2 In 2.97, 2 Hg 3.25
Hg: 0.0000 0.6616 0.3384  4 In 3.10-3.34, 5 Hg 3.17-3.39, 1 La 3.31
Hg: 0.5000 0.8315 0.1685  4 Hg 3.25-3.39, 6 In 3.29-3.59, 2 La 3.38
La: 0.0000 0.0000 0.0000  6 Hg 3.31-3.38, 6 In 3.41-3.56

Below is SiPHS after structural relaxation, with properties calculated at the PBE level.

Volume = 154 Å³/cell
DFT total energy = -0.176 hartree per atom
Energy above the most stable polymorph in this dataset = 0 kJ/mol of formula units
Space-group type = Cm

Lattice parameters (Å, degrees): 7.3245 3.6108 6.2078 90.00 110.37 90.00
With the nearest neighbours (Å) after each atom.
Element x y z (fractional)
Si: 0.1474 0.0000 0.9018  1 S 2.15, 3 P 2.28-2.30
Si: 0.1474 0.5000 0.4018  1 S 2.15, 3 P 2.28-2.30
P: 0.2894 0.0000 0.2926  3 Si 2.28-2.30
P: 0.2894 0.5000 0.7926  3 Si 2.28-2.30
H: 0.8014 0.0000 0.5765  1 S 1.36
H: 0.8014 0.5000 0.0765  1 S 1.36
S: 0.8363 0.0000 0.8070  1 H 1.36
S: 0.8363 0.5000 0.3070  1 H 1.36

Below is CaTb2Ni after structural relaxation, with properties calculated at the PBE level.

Energy relative to the elements = -0.14 eV per atom
Volume = 112 Å³/cell
DFT total energy = -0.162 hartree per atom
Energy above the most stable polymorph in this dataset = 0 kJ/mol of formula units
Space-group type = P4/mmm

Lattice parameters (Å, degrees): 3.4610 3.4610 9.3561 90.00 90.00 90.00
With the nearest neighbours (Å) after each atom.
Element x y z (fractional)
Ni: 0.5000 0.5000 0.0000  8 Tb 2.93
Ca: 0.5000 0.5000 0.5000  4 Ca 3.46
Tb: 0.0000 0.0000 0.8287  4 Ni 2.93, 1 Tb 3.20
Tb: 0.0000 0.0000 0.1713  4 Ni 2.93, 1 Tb 3.20